The following is a PBE-GGA calculation of a geometry-optimized Rb2H5Ru structure, from Alexandria via LeMat-Bulk.

## Properties
The calculation puts the magnetization at 1.0 Bohr magnetons per cell. The value obtained for the total energy is -3.49 eV per atom.

a b c (Å): 6.622 6.622 6.622
angles (deg): 148.73 123.87 65.67
Positions (direct):
Rb 0.163 0.163 0.000
Rb 0.837 0.837 0.000
H 0.198 0.390 0.808
H 0.417 0.610 0.808
H 0.500 0.000 0.500
H 0.583 0.390 0.192
H 0.802 0.610 0.192
Ru 0.500 0.500 0.000